Entry 1:
## CuRuSe2 (GGA-PBE)

Data for a relaxed CuRuSe2 crystal.

Output
Raw formation energy ... 0.10 eV per atom
Final energy ... -4.9868 eV per atom

```
data_CuRuSe2
_chemical_formula_sum 'Cu1 Ru1 Se2'
_space_group_name_H-M_alt 'P 1'
_space_group_IT_number 1
_space_group_name_Hall 'P 1'
_cell_length_a 7.076
_cell_length_b 7.076
_cell_length_c 7.076
_cell_angle_alpha 153.15
_cell_angle_beta 151.62
_cell_angle_gamma 39.47
loop_
_atom_site_label
_atom_site_type_symbol
_atom_site_fract_x
_atom_site_fract_y
_atom_site_fract_z
_atom_site_occupancy
Ru1 Ru 0.182 0.682 0.500 1
Se1 Se 0.766 0.266 0.500 1
Se2 Se 0.023 0.023 0.000 1
Cu1 Cu 0.528 0.528 0.000 1
```



Entry 2:
## OF (GGA-PBE)

Data for a relaxed OF crystal.

Output
Raw formation energy ... 1.13 eV per atom
Final energy ... -2.2872 eV per atom

```
data_OF
_chemical_formula_sum 'O6 F6'
_space_group_name_H-M_alt 'P 1'
_space_group_IT_number 1
_space_group_name_Hall 'P 1'
_cell_length_a 6.073
_cell_length_b 6.073
_cell_length_c 6.073
_cell_angle_alpha 90.00
_cell_angle_beta 90.00
_cell_angle_gamma 90.00
loop_
_atom_site_label
_atom_site_type_symbol
_atom_site_fract_x
_atom_site_fract_y
_atom_site_fract_z
_atom_site_occupancy
O1 O 0.000 0.750 0.500 1
O2 O 0.500 0.000 0.250 1
O3 O 0.750 0.500 0.000 1
O4 O 0.250 0.500 0.000 1
O5 O 0.000 0.250 0.500 1
O6 O 0.500 0.000 0.750 1
F1 F 0.000 0.500 0.250 1
F2 F 0.500 0.250 0.000 1
F3 F 0.500 0.750 0.000 1
F4 F 0.000 0.500 0.750 1
F5 F 0.750 0.000 0.500 1
F6 F 0.250 0.000 0.500 1
```



Entry 3:
## Li2ScSiS4 (GGA-PBE)

Data for a relaxed Li2ScSiS4 crystal.

Output
Raw formation energy ... -1.20 eV per atom
Final energy ... -5.2159 eV per atom

```
data_Li2ScSiS4
_chemical_formula_sum 'Li4 Sc2 Si2 S8'
_space_group_name_H-M_alt 'P 1'
_space_group_IT_number 1
_space_group_name_Hall 'P 1'
_cell_length_a 7.290
_cell_length_b 7.290
_cell_length_c 7.358
_cell_angle_alpha 120.31
_cell_angle_beta 120.31
_cell_angle_gamma 90.87
loop_
_atom_site_label
_atom_site_type_symbol
_atom_site_fract_x
_atom_site_fract_y
_atom_site_fract_z
_atom_site_occupancy
S1 S 0.733 0.266 0.500 1
S2 S 0.247 0.253 0.019 1
S3 S 0.766 0.233 0.000 1
S4 S 0.247 0.253 0.481 1
S5 S 0.234 0.767 0.000 1
S6 S 0.753 0.747 0.981 1
S7 S 0.267 0.734 0.500 1
S8 S 0.753 0.747 0.519 1
Li1 Li 0.000 0.000 0.500 1
Li2 Li 0.500 0.000 0.000 1
Li3 Li 0.500 0.500 0.000 1
Li4 Li 0.500 0.000 0.500 1
Sc1 Sc 0.000 0.500 0.000 1
Sc2 Sc 0.000 0.500 0.500 1
Si1 Si 0.500 0.500 0.500 1
Si2 Si 0.000 0.000 0.000 1
```



Entry 4:
## Tl2ZnSi (GGA-PBE)

Data for a relaxed Tl2ZnSi crystal.

Output
Raw formation energy ... 0.43 eV per atom
Final energy ... -2.4316 eV per atom

```
data_Tl2ZnSi
_chemical_formula_sum 'Tl2 Zn1 Si1'
_space_group_name_H-M_alt 'P 1'
_space_group_IT_number 1
_space_group_name_Hall 'P 1'
_cell_length_a 5.124
_cell_length_b 5.124
_cell_length_c 5.124
_cell_angle_alpha 60.00
_cell_angle_beta 60.00
_cell_angle_gamma 60.00
loop_
_atom_site_label
_atom_site_type_symbol
_atom_site_fract_x
_atom_site_fract_y
_atom_site_fract_z
_atom_site_occupancy
Zn1 Zn 0.500 0.500 0.500 1
Si1 Si 0.000 0.000 0.000 1
Tl1 Tl 0.250 0.250 0.250 1
Tl2 Tl 0.750 0.750 0.750 1
```



Entry 5:
## Tm12Cu5Ni3 (GGA-PBE)

Data for a relaxed Tm12Cu5Ni3 crystal.

Output
Final energy ... -4.4117 eV per atom

```
data_Tm12Cu5Ni3
_chemical_formula_sum 'Tm48 Cu20 Ni12'
_space_group_name_H-M_alt 'P 1'
_space_group_IT_number 1
_space_group_name_Hall 'P 1'
_cell_length_a 13.935
_cell_length_b 13.935
_cell_length_c 13.935
_cell_angle_alpha 109.47
_cell_angle_beta 109.47
_cell_angle_gamma 109.47
loop_
_atom_site_label
_atom_site_type_symbol
_atom_site_fract_x
_atom_site_fract_y
_atom_site_fract_z
_atom_site_occupancy
Cu1 Cu 0.500 0.000 0.000 1
Cu2 Cu 0.375 0.250 0.125 1
Cu3 Cu 0.625 0.750 0.875 1
Cu4 Cu 0.125 0.375 0.250 1
Cu5 Cu 0.000 0.000 0.500 1
Cu6 Cu 0.250 0.375 0.625 1
Cu7 Cu 0.750 0.125 0.875 1
Cu8 Cu 0.500 0.000 0.500 1
Cu9 Cu 0.000 0.500 0.500 1
Cu10 Cu 0.000 0.000 0.000 1
Cu11 Cu 0.500 0.500 0.000 1
Cu12 Cu 0.500 0.500 0.500 1
Cu13 Cu 0.875 0.250 0.625 1
Cu14 Cu 0.000 0.500 0.000 1
Cu15 Cu 0.375 0.125 0.750 1
Cu16 Cu 0.125 0.750 0.375 1
Cu17 Cu 0.875 0.625 0.750 1
Cu18 Cu 0.625 0.875 0.250 1
Cu19 Cu 0.250 0.875 0.125 1
Cu20 Cu 0.750 0.625 0.375 1
Ni1 Ni 0.375 0.625 0.250 1
Ni2 Ni 0.125 0.875 0.750 1
Ni3 Ni 0.375 0.750 0.625 1
Ni4 Ni 0.625 0.250 0.375 1
Ni5 Ni 0.250 0.125 0.375 1
Ni6 Ni 0.750 0.375 0.125 1
Ni7 Ni 0.750 0.875 0.625 1
Ni8 Ni 0.875 0.125 0.250 1
Ni9 Ni 0.625 0.375 0.750 1
Ni10 Ni 0.250 0.625 0.875 1
Ni11 Ni 0.125 0.250 0.875 1
Ni12 Ni 0.875 0.750 0.125 1
Tm1 Tm 0.776 0.330 0.907 1
Tm2 Tm 0.577 0.947 0.670 1
Tm3 Tm 0.947 0.370 0.276 1
Tm4 Tm 0.447 0.776 0.870 1
Tm5 Tm 0.170 0.077 0.947 1
Tm6 Tm 0.224 0.553 0.630 1
Tm7 Tm 0.577 0.630 0.407 1
Tm8 Tm 0.053 0.423 0.830 1
Tm9 Tm 0.724 0.130 0.053 1
Tm10 Tm 0.370 0.423 0.093 1
Tm11 Tm 0.630 0.577 0.907 1
Tm12 Tm 0.593 0.724 0.670 1
Tm13 Tm 0.907 0.830 0.776 1
Tm14 Tm 0.830 0.907 0.276 1
Tm15 Tm 0.553 0.224 0.130 1
Tm16 Tm 0.407 0.130 0.577 1
Tm17 Tm 0.276 0.407 0.830 1
Tm18 Tm 0.330 0.553 0.423 1
Tm19 Tm 0.077 0.170 0.447 1
Tm20 Tm 0.630 0.053 0.224 1
Tm21 Tm 0.130 0.724 0.553 1
Tm22 Tm 0.407 0.276 0.330 1
Tm23 Tm 0.593 0.870 0.423 1
Tm24 Tm 0.093 0.170 0.224 1
Tm25 Tm 0.553 0.330 0.923 1
Tm26 Tm 0.130 0.407 0.077 1
Tm27 Tm 0.670 0.447 0.577 1
Tm28 Tm 0.093 0.923 0.370 1
Tm29 Tm 0.670 0.224 0.593 1
Tm30 Tm 0.170 0.093 0.724 1
Tm31 Tm 0.870 0.593 0.923 1
Tm32 Tm 0.923 0.830 0.553 1
Tm33 Tm 0.947 0.577 0.170 1
Tm34 Tm 0.923 0.093 0.870 1
Tm35 Tm 0.776 0.447 0.370 1
Tm36 Tm 0.077 0.907 0.130 1
Tm37 Tm 0.330 0.776 0.407 1
Tm38 Tm 0.870 0.276 0.447 1
Tm39 Tm 0.276 0.870 0.947 1
Tm40 Tm 0.423 0.053 0.330 1
Tm41 Tm 0.907 0.077 0.630 1
Tm42 Tm 0.724 0.593 0.170 1
Tm43 Tm 0.370 0.947 0.776 1
Tm44 Tm 0.224 0.670 0.093 1
Tm45 Tm 0.830 0.923 0.053 1
Tm46 Tm 0.447 0.670 0.077 1
Tm47 Tm 0.423 0.370 0.593 1
Tm48 Tm 0.053 0.630 0.724 1
```



Entry 6:
## SrPrPdAu (GGA-PBE)

Data for a relaxed SrPrPdAu crystal.

Output
Final energy ... -4.3989 eV per atom

```
data_SrPrPdAu
_chemical_formula_sum 'Sr1 Pr1 Pd1 Au1'
_space_group_name_H-M_alt 'P 1'
_space_group_IT_number 1
_space_group_name_Hall 'P 1'
_cell_length_a 5.272
_cell_length_b 5.272
_cell_length_c 5.272
_cell_angle_alpha 60.00
_cell_angle_beta 60.00
_cell_angle_gamma 60.00
loop_
_atom_site_label
_atom_site_type_symbol
_atom_site_fract_x
_atom_site_fract_y
_atom_site_fract_z
_atom_site_occupancy
Au1 Au 0.000 0.000 0.000 1
Sr1 Sr 0.250 0.250 0.250 1
Pd1 Pd 0.500 0.500 0.500 1
Pr1 Pr 0.750 0.750 0.750 1
```



Among the records above, which one has the highest final energy? OF